The following is a DFT calculation (PBE-GGA) of a relaxed KInAs2 crystal.

Output
E_form   -0.11 eV per atom
Calculated total energy   -3.394 eV per atom
SG   No. 99

```
data_KInAs2
_chemical_formula_sum 'K1 In1 As2'
_cell_length_a 3.779
_cell_length_b 3.779
_cell_length_c 7.696
_cell_angle_alpha 90.00
_cell_angle_beta 90.00
_cell_angle_gamma 90.00
_space_group_name_H-M_alt 'P 1'
_space_group_IT_number 1
loop_
_space_group_symop_operation_xyz
'x,y,z'
loop_
_atom_site_label
_atom_site_type_symbol
_atom_site_fract_x
_atom_site_fract_y
_atom_site_fract_z
_atom_site_occupancy
K1 K 0.000 0.000 0.000 1
In1 In 0.500 0.500 0.665 1
As1 As 0.000 0.000 0.425 1
As2 As 0.500 0.500 0.311 1
```